(1)
Compound: Li2MgTi3O8
Source: Alexandria
Functional: meta-GGA SCAN
Structure: single point on PBEsol structure

Computed properties:
ΔE_f (raw) = -43.05 eV per formula unit
Energy above the lowest structure with this stoichiometry = 0.55 eV per formula unit

Cell: 5.8819 5.8819 5.8819 Å, 60.39 60.39 60.39°
Last column: nearest neighbours and their distance in Å.
Positions (direct):
Li  0.6262  0.6262  0.6262  6 O 2.05-2.10
O  0.8712  0.4139  0.8712  1 Mg 1.96, 2 Ti 1.96, 1 Li 2.05
O  0.3839  0.3839  0.3839  3 Ti 2.00, 1 Li 2.01
Ti  0.6237  0.1306  0.6237  6 O 1.91-2.04
Ti  0.6237  0.6237  0.1306  6 O 1.91-2.04
O  0.3759  0.8355  0.3759  2 Ti 1.91, 2 Li 1.97-2.10
O  0.4139  0.8712  0.8712  1 Mg 1.96, 2 Ti 1.96, 1 Li 2.05
O  0.8676  0.8676  0.8676  1 Mg 2.01, 3 Ti 2.04
O  0.8712  0.8712  0.4139  1 Mg 1.96, 2 Ti 1.96, 1 Li 2.05
Li  0.2436  0.2436  0.2436  4 O 1.97-2.01
O  0.3759  0.3759  0.8355  2 Ti 1.91, 2 Li 1.97-2.10
O  0.8355  0.3759  0.3759  2 Ti 1.91, 2 Li 1.97-2.10
Mg  0.0072  0.0072  0.0072  4 O 1.96-2.01
Ti  0.1306  0.6237  0.6237  6 O 1.91-2.04

(2)
Compound: CdCuPt
Source: Alexandria
Functional: meta-GGA SCAN
Structure: single point on PBEsol structure

Computed properties:
Energy above the lowest structure with this stoichiometry = 0.08 eV per formula unit

Cell: 2.9367 2.9367 5.6272 Å, 105.13 105.13 90.00°
Last column: nearest neighbours and their distance in Å.
Positions (direct):
Cd  0.9949  0.9949  0.9898  4 Cu 2.72, 4 Pt 2.83, 4 Cd 2.94
Pt  0.6789  0.6789  0.3578  4 Cu 2.59, 4 Cd 2.83
Cu  0.3262  0.3262  0.6525  4 Pt 2.59, 4 Cd 2.72

(3)
Compound: RbBa2NbS
Source: Alexandria
Functional: meta-GGA SCAN
Structure: single point on PBEsol structure

Computed properties:
ΔE_f (raw) = -0.97 eV per formula unit

Cell: 4.7606 6.2942 6.2942 Å, 90.00 90.00 90.00°
Last column: nearest neighbours and their distance in Å.
Positions (direct):
Ba  0.0000  0.5000  0.0000  2 S 3.15
Ba  0.0000  0.0000  0.5000  2 S 3.15
S  0.0000  0.0000  0.0000  2 Nb 2.38
Rb  0.5000  0.5000  0.5000  8 Ba 3.95
Nb  0.5000  0.0000  0.0000  2 S 2.38

(4)
Compound: ReMo2H2
Source: Alexandria
Functional: meta-GGA SCAN
Structure: single point on PBEsol structure

Computed properties:
Raw total energy = -29.502 eV per atom

Cell: 2.8892 2.8892 6.4022 Å, 103.04 103.04 90.00°
Last column: nearest neighbours and their distance in Å.
Positions (direct):
H  0.7500  0.2500  0.5000  4 Mo 1.91, 4 H 2.04
Re  0.0000  0.0000  0.0000  8 Mo 2.71, 4 Re 2.89
Mo  0.6468  0.6468  0.2935  4 H 1.91
Mo  0.3532  0.3532  0.7065  4 H 1.91
H  0.2500  0.7500  0.5000  4 Mo 1.91, 4 H 2.04

(5)
Compound: SrTl2Br
Source: Alexandria
Functional: meta-GGA SCAN
Structure: single point on PBEsol structure

Computed properties:
ΔE_f (raw) = -3.08 eV per formula unit
Energy above the lowest structure with this stoichiometry = 0.13 eV per formula unit

Cell: 4.3587 4.3587 6.6555 Å, 90.00 90.00 90.00°
Last column: nearest neighbours and their distance in Å.
Positions (direct):
Tl  0.0000  0.5000  0.0000  4 Tl 3.08
Sr  0.0000  0.0000  0.5000  4 Br 3.08
Br  0.5000  0.5000  0.5000  4 Sr 3.08
Tl  0.5000  0.0000  0.0000  4 Tl 3.08

(6)
Compound: CuTc2F
Source: Alexandria
Functional: meta-GGA SCAN
Structure: single point on PBEsol structure

Computed properties:
ΔE_f (raw) = 1.86 eV per formula unit

Cell: 4.0867 4.0867 4.0867 Å, 60.00 60.00 60.00°
Last column: nearest neighbours and their distance in Å.
Positions (direct):
F  0.0000  0.0000  0.0000  8 Tc 2.50
Tc  0.7500  0.7500  0.7500  4 F 2.50, 4 Cu 2.50
Cu  0.5000  0.5000  0.5000  8 Tc 2.50
Tc  0.2500  0.2500  0.2500  4 F 2.50, 4 Cu 2.50

(7)
Compound: Gd2MgPtO6
Source: Alexandria
Functional: meta-GGA SCAN
Structure: single point on PBEsol structure

Computed properties:
ΔE_f (raw) = -27.54 eV per formula unit

Cell: 5.3377 5.6852 7.6770 Å, 90.00 89.50 90.00°
Last column: nearest neighbours and their distance in Å.
Positions (direct):
O  0.3862  0.5406  0.2525  1 Pt 2.01, 1 Mg 2.04
O  0.6929  0.1954  0.0559  1 Pt 2.02, 1 Mg 2.06
O  0.8862  0.9594  0.7525  1 Pt 2.01, 1 Mg 2.04
Pt  0.0000  0.0000  0.0000  6 O 2.01-2.03
O  0.6867  0.1994  0.4424  1 Pt 2.03, 1 Mg 2.07
Gd  0.0212  0.5707  0.7495  6 O 2.26-2.52
Gd  0.5212  0.9293  0.2495  6 O 2.26-2.52
O  0.8071  0.6954  0.4441  1 Pt 2.02, 1 Mg 2.06
O  0.3133  0.8006  0.5576  1 Pt 2.03, 1 Mg 2.07
Mg  0.5000  0.5000  0.0000  6 O 2.04-2.07
O  0.1929  0.3046  0.5559  1 Pt 2.02, 1 Mg 2.06
O  0.1138  0.0406  0.2475  1 Pt 2.01, 1 Mg 2.04
Gd  0.9788  0.4293  0.2505  6 O 2.26-2.52
Gd  0.4788  0.0707  0.7505  6 O 2.26-2.52
Mg  0.0000  0.0000  0.5000  6 O 2.04-2.07
O  0.6138  0.4594  0.7475  1 Pt 2.01, 1 Mg 2.04
O  0.3071  0.8046  0.9441  1 Pt 2.02, 1 Mg 2.06
O  0.8133  0.6994  0.0576  1 Pt 2.03, 1 Mg 2.07
Pt  0.5000  0.5000  0.5000  6 O 2.01-2.03
O  0.1867  0.3006  0.9424  1 Pt 2.03, 1 Mg 2.07

(8)
Compound: Rb2YInI6
Source: Alexandria
Functional: meta-GGA SCAN
Structure: single point on PBEsol structure

Computed properties:
ΔE_f (raw) = -13.29 eV per formula unit

Cell: 8.7709 8.7709 8.7709 Å, 60.00 60.00 60.00°
Last column: nearest neighbours and their distance in Å.
Positions (direct):
I  0.7600  0.2400  0.2400  1 Y 2.98, 1 In 3.22
Rb  0.7500  0.7500  0.7500  12 I 4.39
I  0.2400  0.2400  0.7600  1 Y 2.98, 1 In 3.22
I  0.2400  0.7600  0.2400  1 Y 2.98, 1 In 3.22
In  0.5000  0.5000  0.5000  6 I 3.22
I  0.7600  0.7600  0.2400  1 Y 2.98, 1 In 3.22
I  0.7600  0.2400  0.7600  1 Y 2.98, 1 In 3.22
Y  0.0000  0.0000  0.0000  6 I 2.98
I  0.2400  0.7600  0.7600  1 Y 2.98, 1 In 3.22
Rb  0.2500  0.2500  0.2500  12 I 4.39

What did we get for spin magnetization? Answer: 0.000 0.000 0.604 0.000 0.000 0.000 1.398 0.000 μB per atom, in the order shown.
What did we get for N(E_F)? Answer: 0.00 0.32 0.66 0.46 0.79 0.87 0.00 0.00 states/eV/atom, in the order shown.